Entry 1:
ErTi2Ni9: relaxed, PBE.

a b c (Å): 4.7915 4.7915 8.2737
angles (deg): 73.17 73.17 60.00
Last column: nearest neighbours and their distance in Å.
Fractional positions:
Ti 0.1419 0.1419 0.5742  12 Ni 2.72-2.83, 3 Ti 3.00
Ti 0.8581 0.8581 0.4258  12 Ni 2.72-2.83, 3 Ti 3.00
Ni 0.6661 0.6661 0.0016  6 Ni 2.46
Ni 0.3339 0.3339 0.9984  6 Ni 2.46
Ni 0.4103 0.4103 0.2608  7 Ni 2.34-2.46
Ni 0.4103 0.9186 0.2608  7 Ni 2.34-2.46
Ni 0.0814 0.5897 0.7392  7 Ni 2.34-2.46
Ni 0.5897 0.0814 0.7392  7 Ni 2.34-2.46
Ni 0.9186 0.4103 0.2608  7 Ni 2.34-2.46
Ni 0.5897 0.5897 0.7392  7 Ni 2.34-2.46
Ni 0.5000 0.5000 0.5000  6 Ni 2.34
Er 0.0000 0.0000 0.0000  6 Ni 2.77

Values from the calculation:
space group	No. 166
energy relative to the elements	-0.369	eV per atom
volume	155	Å³/f.u.



Entry 2:
LaHg3Au8: relaxed, PBE.

a b c (Å): 5.6654 5.6654 9.7657
angles (deg): 73.14 73.14 60.00
Last column: nearest neighbours and their distance in Å.
Fractional positions:
Hg 0.0031 0.0031 0.9908  12 Au 3.24-3.35, 3 Hg 3.43, 1 La 3.56
Hg 0.3743 0.3743 0.8770  12 Au 3.28-3.33, 4 Hg 3.34-3.43
Hg 0.4953 0.4953 0.5141  12 Au 3.25-3.44, 1 Hg 3.34, 3 La 3.50
Au 0.4386 0.4386 0.1854  6 Au 2.82-2.84
Au 0.6881 0.6881 0.9358  6 Au 2.81-2.82
Au 0.9375 0.9375 0.6870  6 Au 2.81-2.84
Au 0.1877 0.1877 0.4370  6 Au 2.82-2.84
Au 0.9373 0.4386 0.1854  6 Au 2.82-2.84
Au 0.9375 0.4379 0.6870  6 Au 2.81-2.84
Au 0.4386 0.9373 0.1854  6 Au 2.82-2.84
Au 0.4379 0.9375 0.6870  6 Au 2.81-2.84
La 0.8740 0.8740 0.3780  12 Au 3.28-3.34, 4 Hg 3.50-3.56

Values from the calculation:
space group	No. 160
energy relative to the elements	-0.209	eV per atom
volume	256	Å³/f.u.